Computed, not measured: a geometry-optimized Y2CoPdC structure at the PBE level of DFT.

abc: 4.986 4.986 3.604
angles: 90.00 90.00 90.00
Space group P4/mmm (No. 123)
Asymmetric unit:
1 Y 0.000 0.500 0.000
2 Co 0.000 0.000 0.500
3 Pd 0.500 0.500 0.500
4 C 0.000 0.000 0.000

Energy relative to the elements = -2.8 eV per formula unit
Raw total energy = -7.444 eV/atom